No. 1
The following is a DFT calculation (PBE) of a geometry-optimized CsTeSeBr2 structure.

Values from the calculation:
size of the total moment	5.0	μB/cell
raw formation energy	0.41	eV/atom

Geometry as CIF:
```
data_CsTeSeBr2
_chemical_formula_sum 'Cs1 Te1 Se1 Br2'
_cell_length_a 6.7643
_cell_length_b 6.7643
_cell_length_c 6.6908
_cell_angle_alpha 90.00
_cell_angle_beta 90.00
_cell_angle_gamma 90.00
_symmetry_space_group_name_H-M 'P 4/m m m'
_symmetry_Int_Tables_number 123
_symmetry_space_group_name_Hall '-P 4 2'
loop_
_atom_site_label
_atom_site_fract_x
_atom_site_fract_y
_atom_site_fract_z
Cs1 0.0000 0.0000 0.0000
Te1 0.5000 0.5000 0.5000
Se1 0.0000 0.0000 0.5000
Br1 0.0000 0.5000 0.0000
```

---

No. 2
The following is a DFT calculation (PBE) of a geometry-optimized CsTl2SeBr structure.

Values from the calculation:
size of the total moment	0.0	μB/cell
raw formation energy	-0.85	eV/atom

Geometry as CIF:
```
data_CsTl2SeBr
_chemical_formula_sum 'Cs2 Tl4 Se2 Br2'
_cell_length_a 8.5163
_cell_length_b 4.5672
_cell_length_c 10.4127
_cell_angle_alpha 90.00
_cell_angle_beta 94.56
_cell_angle_gamma 90.00
_symmetry_space_group_name_H-M 'P 1 21/m 1'
_symmetry_Int_Tables_number 11
loop_
_symmetry_equiv_pos_as_xyz
'x,y,z'
'-x,-y,-z'
'-x,y+1/2,-z'
'x,-y+1/2,z'
loop_
_atom_site_label
_atom_site_fract_x
_atom_site_fract_y
_atom_site_fract_z
Cs1 0.0087 0.2500 0.2230
Tl1 0.3168 0.2500 0.5544
Tl2 0.4963 0.2500 0.1966
Se1 0.3290 0.7500 0.3607
Br1 0.2487 0.2500 0.9568
```